VASP calculation (PBE-GGA) on CeZrSc after structural relaxation.

a = 3.1832 Å, b = 3.1832 Å, c = 7.7688 Å
α = 101.82°, β = 101.82°, γ = 90.00°
Last column: nearest neighbours and their distance in Å.
Sites, in units of the cell vectors:
Sc1 0.0087 0.0087 0.0173  4 Sc 3.18, 4 Zr 3.20, 4 Ce 3.49
Zr1 0.6616 0.6616 0.3232  4 Zr 3.18, 4 Sc 3.20, 4 Ce 3.36
Ce1 0.3297 0.3297 0.6595  4 Ce 3.18, 4 Zr 3.36, 4 Sc 3.49

Summary:
calculated density	6.09	Mg/m³
energy relative to the lowest polymorph listed for this composition	35	meV/atom
spin magnetization	0.3	μB/cell